1.
Material: ZrCu12
Method: DFT, GGA-PBE
State: relaxed

As for the uncorrected energy: -3.6128 eV per atom. As for the total magnetization: 0.03 μB/cell.

It has space group Fm-3m (No. 225), with a = 9.786 Å, b = 9.786 Å, c = 9.786 Å, α = 90.00°, β = 90.00° and γ = 90.00°. The inequivalent atoms are Zr at (0.000, 0.000, 0.000) and Cu at (0.000, 0.170, 0.330).


2.
Material: CsNaTl2
Method: DFT, GGA-PBE
State: relaxed

As for the uncorrected energy: -1.8105 eV per atom. As for the total magnetization: 0.00 μB/cell.

It has space group R3m (No. 160, hexagonal axes), with a = 5.3957 Å, b = 5.3957 Å, c = 20.8867 Å, α = 90.00°, β = 90.00° and γ = 120.00°. The inequivalent atoms are Cs at (0.0000, 0.0000, 0.0000), Na at (0.0000, 0.0000, 0.1901), Tl at (0.0000, 0.0000, 0.4960) and Tl at (0.0000, 0.0000, 0.7952).


3.
Material: YErInPt
Method: DFT, GGA-PBE
State: relaxed

As for the uncorrected energy: -5.7163 eV per atom. As for the total magnetization: 0.00 μB/cell.

It has space group F-43m (No. 216), with a = 7.229 Å, b = 7.229 Å, c = 7.229 Å, α = 90.00°, β = 90.00° and γ = 90.00°. The inequivalent atoms are Y at (0.000, 0.000, 0.000), Er at (0.000, 0.000, 0.500), In at (0.250, 0.250, 0.250) and Pt at (0.250, 0.250, 0.750).


4.
Material: SrMg2Ir
Method: DFT, GGA-PBE
State: relaxed

As for the uncorrected energy: -3.5439 eV per atom. As for the total magnetization: 0.00 μB/cell.

It has space group Pmm2 (No. 25), with a = 3.321 Å, b = 3.800 Å, c = 7.574 Å, α = 90.00°, β = 90.00° and γ = 90.00°. The inequivalent atoms are Sr at (0.000, 0.000, 0.000), Mg at (0.000, 0.000, 0.403), Mg at (0.500, 0.500, 0.631) and Ir at (0.500, 0.500, 0.270).


5.
Material: NbAl2CuW
Method: DFT, GGA-PBE
State: relaxed

As for the uncorrected energy: -5.3862 eV per atom. As for the total magnetization: 0.88 μB/cell.

It has space group P4/mmm (No. 123), with a = 4.973 Å, b = 4.973 Å, c = 4.723 Å, α = 90.00°, β = 90.00° and γ = 90.00°. The inequivalent atoms are Nb at (0.000, 0.000, 0.000), Al at (0.000, 0.500, 0.000), Cu at (0.500, 0.500, 0.500) and W at (0.000, 0.000, 0.500).


6.
Material: HoEr7Th3
Method: DFT, GGA-PBE
State: relaxed

As for the uncorrected energy: -5.1356 eV per atom. As for the total magnetization: 0.02 μB/cell.

It has space group P3m1 (No. 156), with a = 7.0258 Å, b = 7.0258 Å, c = 8.4726 Å, α = 90.00°, β = 90.00° and γ = 120.00°. The inequivalent atoms are Ho at (0.0000, 0.0000, 0.0000), Er at (0.0023, 0.5011, 0.9969), Er at (0.3312, 0.1656, 0.6616), Er at (0.3333, 0.6667, 0.6589) and Th at (0.1668, 0.3336, 0.3295).


7.
Material: ZnPbAuO4
Method: DFT, GGA-PBE
State: relaxed

As for the uncorrected energy: -4.6348 eV per atom. As for the total magnetization: 1.90 μB/cell.

It has space group Imma (No. 74), with a = 6.285 Å, b = 6.464 Å, c = 10.142 Å, α = 90.00°, β = 90.00° and γ = 90.00°. The inequivalent atoms are Zn at (0.000, 0.250, 0.148), Pb at (0.000, 0.000, 0.500), Au at (0.250, 0.250, 0.750), O at (0.000, 0.027, 0.736) and O at (0.239, 0.250, 0.463).


8.
Material: NdAlGa2Pd2
Method: DFT, GGA-PBE
State: relaxed

As for the uncorrected energy: -4.6156 eV per atom. As for the total magnetization: 0.00 μB/cell.

It has space group P4/mmm (No. 123), with a = 4.608 Å, b = 4.608 Å, c = 5.716 Å, α = 90.00°, β = 90.00° and γ = 90.00°. The inequivalent atoms are Nd at (0.000, 0.000, 0.000), Al at (0.000, 0.000, 0.500), Ga at (0.500, 0.500, 0.236) and Pd at (0.000, 0.500, 0.500).